Entry 1:
First-principles (GGA-PBE) data for an optimized crystal structure of PrNd6Ho3Er2, as listed in the Alexandria database.

```
data_PrNd6Ho3Er2
_chemical_formula_sum 'Pr1 Nd6 Ho3 Er2'
_cell_length_a 6.278
_cell_length_b 6.278
_cell_length_c 11.896
_cell_angle_alpha 95.03
_cell_angle_beta 95.03
_cell_angle_gamma 119.99
_symmetry_space_group_name_H-M 'P 1'
_symmetry_Int_Tables_number 1
_symmetry_space_group_name_Hall 'P 1'
loop_
_atom_site_label
_atom_site_type_symbol
_atom_site_fract_x
_atom_site_fract_y
_atom_site_fract_z
Er1 Er 0.667 0.333 0.000
Er2 Er 0.333 0.667 0.000
Nd1 Nd 0.581 0.916 0.748
Nd2 Nd 0.750 0.750 0.252
Nd3 Nd 0.419 0.084 0.252
Nd4 Nd 0.916 0.581 0.748
Nd5 Nd 0.084 0.419 0.252
Nd6 Nd 0.250 0.250 0.748
Ho1 Ho 0.500 0.500 0.500
Ho2 Ho 0.833 0.167 0.500
Ho3 Ho 0.167 0.833 0.500
Pr1 Pr 0.000 0.000 0.000
```

Its density of states at the Fermi level is 14.07 states/eV/cell. The uncorrected energy comes out at -4.673 eV per atom.


Entry 2:
First-principles (GGA-PBE) data for an optimized crystal structure of TaCoRh2, as listed in the Alexandria database.

```
data_TaCoRh2
_chemical_formula_sum 'Ta1 Co1 Rh2'
_cell_length_a 8.856
_cell_length_b 8.856
_cell_length_c 8.856
_cell_angle_alpha 18.10
_cell_angle_beta 18.10
_cell_angle_gamma 18.10
_symmetry_space_group_name_H-M 'P 1'
_symmetry_Int_Tables_number 1
_symmetry_space_group_name_Hall 'P 1'
loop_
_atom_site_label
_atom_site_type_symbol
_atom_site_fract_x
_atom_site_fract_y
_atom_site_fract_z
Ta1 Ta 0.250 0.250 0.250
Co1 Co 0.750 0.750 0.750
Rh1 Rh 0.004 0.004 0.004
Rh2 Rh 0.496 0.496 0.496
```

Its density of states at the Fermi level is 5.79 states/eV/cell. The uncorrected energy comes out at -8.469 eV per atom.


Entry 3:
First-principles (GGA-PBE) data for an optimized crystal structure of Pm2Cu2Se, as listed in the Alexandria database.

```
data_Pm2Cu2Se
_chemical_formula_sum 'Pm2 Cu2 Se1'
_cell_length_a 4.163
_cell_length_b 4.163
_cell_length_c 7.930
_cell_angle_alpha 90.00
_cell_angle_beta 105.22
_cell_angle_gamma 120.01
_symmetry_space_group_name_H-M 'P 1'
_symmetry_Int_Tables_number 1
_symmetry_space_group_name_Hall 'P 1'
loop_
_atom_site_label
_atom_site_type_symbol
_atom_site_fract_x
_atom_site_fract_y
_atom_site_fract_z
Cu1 Cu 0.665 0.833 0.498
Cu2 Cu 0.335 0.167 0.502
Pm1 Pm 0.827 0.414 0.241
Pm2 Pm 0.173 0.586 0.759
Se1 Se 0.000 0.000 0.000
```

Its density of states at the Fermi level is 3.11 states/eV/cell. The uncorrected energy comes out at -5.089 eV per atom. The value obtained for the formation energy without anion corrections is -853.1 meV per atom.


Entry 4:
First-principles (GGA-PBE) data for an optimized crystal structure of FePtSe2N, as listed in the Alexandria database.

```
data_FePtSe2N
_chemical_formula_sum 'Fe1 Pt1 Se2 N1'
_cell_length_a 5.221
_cell_length_b 5.221
_cell_length_c 3.644
_cell_angle_alpha 90.00
_cell_angle_beta 90.00
_cell_angle_gamma 90.00
_symmetry_space_group_name_H-M 'P 1'
_symmetry_Int_Tables_number 1
_symmetry_space_group_name_Hall 'P 1'
loop_
_atom_site_label
_atom_site_type_symbol
_atom_site_fract_x
_atom_site_fract_y
_atom_site_fract_z
Se1 Se 0.500 0.000 0.000
Se2 Se 0.000 0.500 0.000
N1 N 0.000 0.000 0.500
Fe1 Fe 0.500 0.500 0.500
Pt1 Pt 0.000 0.000 0.000
```

Its density of states at the Fermi level is 6.77 states/eV/cell. Its offset from the most stable computed form is 0.430 eV/atom. The uncorrected energy comes out at -5.116 eV per atom. The value obtained for the formation energy without anion corrections is 843.9 meV per atom.